A relaxed CuAs2HBr crystal. Source: Alexandria, functional PBE.

The space group is P4/mmm (No. 123) and the conventional cell measures 3.762, 3.762 and 7.898 Å, with angles of 90.00, 90.00 and 90.00 degrees. The asymmetric unit holds Cu at (0.000, 0.000, 0.000), As at (0.000, 0.500, 0.500), H at (0.500, 0.500, 0.500) and Br at (0.500, 0.500, 0.000).

The energy above the most stable polymorph in this dataset is 0.0 kJ per mole of atoms. As for the crystal system: tetragonal.